Record 1
# InGa2Mo

A relaxed structure of InGa2Mo (GGA-PBE, the Open Quantum Materials Database).

a = 4.683 Å, b = 4.683 Å, c = 4.683 Å
α = 60.00°, β = 60.00°, γ = 60.00°
Each line ends with the local moment (μB).
Fractional coordinates of all 4 atoms:
Ga: 0.500 0.500 0.500  -0.02
Ga: 0.750 0.750 0.750  0.01
In: 0.000 0.000 0.000  0.00
Mo: 0.250 0.250 0.250  1.39

## Properties
* magnetic moment: 1.79 μB per formula unit

=====

Record 2
# LuBePO

A relaxed structure of LuBePO (GGA-PBE, the Open Quantum Materials Database).

a = 4.059 Å, b = 5.716 Å, c = 5.326 Å
α = 90.00°, β = 90.00°, γ = 90.00°
Fractional coordinates of all 8 atoms:
Be: 0.500 0.385 0.045
Be: 0.500 0.615 0.545
Lu: 0.000 0.247 0.419
Lu: 0.000 0.753 0.919
O: 0.500 0.376 0.365
O: 0.500 0.624 0.865
P: 0.000 0.768 0.425
P: 0.000 0.232 0.925

## Properties
* magnetic moment: 0.00 μB per formula unit
* energy above the most stable polymorph in this dataset: 21 meV/atom

=====

Record 3
# HoErGeF2

A relaxed structure of HoErGeF2 (GGA-PBE, the Open Quantum Materials Database).

a = 3.966 Å, b = 3.966 Å, c = 6.534 Å
α = 90.00°, β = 90.00°, γ = 120.00°
Fractional coordinates of all 5 atoms:
Er: 0.333 0.667 0.254
F: 0.000 0.000 0.101
F: 0.333 0.667 0.901
Ge: 0.667 0.333 0.499
Ho: 0.000 0.000 0.745

## Properties
* magnetic moment: 0.00 μB per formula unit

=====

Record 4
# Ga2Cu2Se3S

A relaxed structure of Ga2Cu2Se3S (GGA-PBE, the Open Quantum Materials Database).

a = 6.777 Å, b = 6.777 Å, c = 5.587 Å
α = 114.09°, β = 114.09°, γ = 48.74°
Fractional coordinates of all 8 atoms:
Cu: 0.232 0.005 0.356
Cu: 0.995 0.768 0.644
Ga: 0.511 0.243 0.120
Ga: 0.757 0.489 0.880
S: 0.877 0.123 0.000
Se: 0.627 0.872 0.258
Se: 0.373 0.627 0.500
Se: 0.128 0.373 0.742

=====

Record 5
# DyEr4Tm2Fe2Te2

A relaxed structure of DyEr4Tm2Fe2Te2 (GGA-PBE, the Open Quantum Materials Database).

a = 9.271 Å, b = 9.271 Å, c = 9.271 Å
α = 156.15°, β = 65.59°, γ = 119.92°
Each line ends with the local moment (μB).
Fractional coordinates of all 11 atoms:
Dy: 0.683 0.683 0.000  0.20
Er: 0.400 0.264 0.136  0.05
Er: 0.370 0.057 0.313  0.06
Er: 0.744 0.057 0.687  0.06
Er: 0.128 0.264 0.864  0.05
Fe: 0.989 0.752 0.237  -0.16
Fe: 0.515 0.752 0.763  -0.16
Te: 0.018 0.018 0.000  0.00
Te: 0.416 0.916 0.500  0.00
Tm: 0.765 0.415 0.350  0.08
Tm: 0.065 0.415 0.650  0.08

## Properties
* magnetic moment: 0.53 μB per formula unit

=====

Record 6
# CoAg2S3

A relaxed structure of CoAg2S3 (GGA-PBE, the Open Quantum Materials Database).

a = 6.543 Å, b = 6.624 Å, c = 6.731 Å
α = 82.06°, β = 60.93°, γ = 73.48°
Each line ends with the local moment (μB).
Fractional coordinates of all 12 atoms:
Ag: 0.873 0.910 0.022  0.00
Ag: 0.197 0.907 0.340  0.00
Ag: 0.037 0.407 0.660  0.00
Ag: 0.395 0.410 0.978  0.00
Co: 0.709 0.420 0.346  0.21
Co: 0.555 0.920 0.654  0.12
S: 0.969 0.517 0.035  0.00
S: 0.385 0.519 0.323  0.01
S: 0.783 0.085 0.380  0.01
S: 0.663 0.586 0.620  0.01
S: 0.208 0.019 0.677  0.00
S: 0.505 0.017 0.964  0.00

## Properties
* magnetic moment: 0.22 μB per formula unit

=====

Record 7
# DyCuPd

A relaxed structure of DyCuPd (GGA-PBE, the Open Quantum Materials Database).

a = 4.511 Å, b = 4.511 Å, c = 4.511 Å
α = 60.00°, β = 60.00°, γ = 60.00°
Fractional coordinates of all 3 atoms:
Cu: 0.500 0.500 0.500
Dy: 0.000 0.000 0.000
Pd: 0.250 0.250 0.250

## Properties
* E_form: -9.2 kcal/mol of atoms
* magnetic moment: 0.00 μB per formula unit

=====

Record 8
# Al2FeW

A relaxed structure of Al2FeW (GGA-PBE, the Open Quantum Materials Database).

a = 4.284 Å, b = 4.284 Å, c = 4.284 Å
α = 60.00°, β = 60.00°, γ = 60.00°
Fractional coordinates of all 4 atoms:
Al: 0.000 0.000 0.000
Al: 0.750 0.750 0.750
Fe: 0.250 0.250 0.250
W: 0.500 0.500 0.500

## Properties
* magnetic moment: 1.95 μB per formula unit

=====

| no. | total DFT energy (no corrections) (eV/atom) | calculated volume (Å³ per cell) |
| --- | --- | --- |
| 1 | -4.33 | 72.6 |
| 2 | -6.56 | 123.6 |
| 3 | -5.96 | 89.0 |
| 4 | -4.02 | 172.5 |
| 5 | -5.47 | 277.2 |
| 6 | -4.26 | 244.5 |
| 7 | -4.90 | 64.9 |
| 8 | -7.15 | 55.6 |